[1]
Density functional theory data (PBE-GGA) for a geometry-optimized TaZn2 structure.

POSCAR file:
```
TaZn2
1.0
-0.177 -2.097 -4.592
1.467 -2.748 3.977
-7.676 -2.209 1.305
Ta Zn
4 8
direct
0.667 0.333 0.068 Ta
0.667 0.333 0.432 Ta
0.333 0.667 0.568 Ta
0.333 0.667 0.932 Ta
0.000 0.000 0.000 Zn
0.173 0.345 0.250 Zn
0.173 0.827 0.250 Zn
0.655 0.827 0.250 Zn
0.000 0.000 0.500 Zn
0.345 0.173 0.750 Zn
0.827 0.173 0.750 Zn
0.827 0.655 0.750 Zn
```

Properties
- ρ (g cm⁻³) = 11.6
- energy of formation (meV/atom) = -84
- V (A^3/atom) = 14.903
- M_tot (μB per atom) = 0.000
- VASP energy (eV/atom) = -4.878
- space group = No. 194



[2]
Density functional theory data (PBE-GGA) for a geometry-optimized NbCoSiNi structure.

POSCAR file:
```
NbCoSiNi
1.0
3.062 -2.185 -1.779
-0.485 -4.073 -0.699
-0.437 -1.406 -3.892
Co Nb Ni Si
1 1 1 1
direct
0.500 0.500 0.500 Co
0.250 0.250 0.250 Nb
0.750 0.750 0.750 Ni
0.000 0.000 0.000 Si
```

Properties
- ρ (g cm⁻³) = 7.8
- V (A^3/atom) = 12.735
- M_tot (μB per atom) = 0.017
- polymorph energy (0 for the lowest one) (meV per atom) = 99
- VASP energy (eV/atom) = -7.292
- space group = No. 216



[3]
Density functional theory data (PBE-GGA) for a geometry-optimized Tm2CoPb2 structure.

POSCAR file:
```
Tm2CoPb2
1.0
-4.431 2.685 -2.803
-3.279 -1.083 -4.772
-2.950 -5.645 9.075
Co Pb Tm
2 4 4
direct
0.276 0.276 0.179 Co
0.724 0.724 0.821 Co
0.663 0.663 0.050 Pb
0.533 0.533 0.380 Pb
0.467 0.467 0.620 Pb
0.337 0.337 0.950 Pb
0.010 0.010 0.172 Tm
0.814 0.814 0.368 Tm
0.186 0.186 0.632 Tm
0.990 0.990 0.828 Tm
```

Properties
- ρ (g cm⁻³) = 11.3
- V (A^3/atom) = 23.762
- M_tot (μB per atom) = 0.001
- VASP energy (eV/atom) = -4.988
- space group = No. 12



- Which formula does entry 3 have?
  Tm2CoPb2